[1]
# GGA-PBE Sr2CeTl3, relaxed
data_Sr2CeTl3
_chemical_formula_sum 'Sr2 Ce1 Tl3'
_cell_length_a 3.992
_cell_length_b 3.992
_cell_length_c 12.374
_cell_angle_alpha 90.00
_cell_angle_beta 90.00
_cell_angle_gamma 90.00
_symmetry_space_group_name_H-M 'P 4/m m m'
_symmetry_Int_Tables_number 123
_symmetry_space_group_name_Hall '-P 4 2'
loop_
_atom_site_label
_atom_site_fract_x
_atom_site_fract_y
_atom_site_fract_z
Sr1 0.000 0.000 0.170
Ce1 0.000 0.000 0.500
Tl1 0.500 0.500 0.000
Tl2 0.500 0.500 0.345
# Total magnetization, μB/f.u.: 1.30
# Volume, Å³ per atom: 32.87
# Electronic total energy, eV for the cell shown: -18.425



[2]
# GGA-PBE SrCe5Tl6, relaxed
data_SrCe5Tl6
_chemical_formula_sum 'Sr2 Ce10 Tl12'
_cell_length_a 5.639
_cell_length_b 7.632
_cell_length_c 16.949
_cell_angle_alpha 90.00
_cell_angle_beta 90.00
_cell_angle_gamma 90.00
_symmetry_space_group_name_H-M 'I m m m'
_symmetry_Int_Tables_number 71
_symmetry_space_group_name_Hall '-I 2 2'
loop_
_atom_site_label
_atom_site_fract_x
_atom_site_fract_y
_atom_site_fract_z
Sr1 0.000 0.000 0.000
Ce1 0.000 0.000 0.330
Ce2 0.000 0.500 0.000
Ce3 0.000 0.500 0.337
Tl1 0.000 0.240 0.500
Tl2 0.000 0.255 0.168
# Total magnetization, μB/f.u.: 6.40
# Volume, Å³ per atom: 30.39
# Electronic total energy, eV for the cell shown: -96.404



[3]
# GGA-PBE SrCeTl, relaxed
data_SrCeTl
_chemical_formula_sum 'Sr4 Ce4 Tl4'
_cell_length_a 3.920
_cell_length_b 3.920
_cell_length_c 26.993
_cell_angle_alpha 90.00
_cell_angle_beta 90.00
_cell_angle_gamma 90.00
_symmetry_space_group_name_H-M 'I 4/m m m'
_symmetry_Int_Tables_number 139
_symmetry_space_group_name_Hall '-I 4 2'
loop_
_atom_site_label
_atom_site_fract_x
_atom_site_fract_y
_atom_site_fract_z
Sr1 0.000 0.000 0.074
Ce1 0.000 0.000 0.225
Tl1 0.000 0.000 0.347
# Total magnetization, μB/f.u.: 0.40
# Volume, Å³ per atom: 34.57
# Electronic total energy, eV for the cell shown: -41.782



[4]
# GGA-PBE SrCe2Tl6, relaxed
data_SrCe2Tl6
_chemical_formula_sum 'Sr2 Ce4 Tl12'
_cell_length_a 15.319
_cell_length_b 7.873
_cell_length_c 4.705
_cell_angle_alpha 90.00
_cell_angle_beta 90.13
_cell_angle_gamma 90.00
_symmetry_space_group_name_H-M 'C 1 2/m 1'
_symmetry_Int_Tables_number 12
_symmetry_space_group_name_Hall '-C 2y'
loop_
_atom_site_label
_atom_site_fract_x
_atom_site_fract_y
_atom_site_fract_z
Sr1 0.000 0.000 0.000
Ce1 0.213 0.000 0.501
Tl1 0.000 0.311 0.500
Tl2 0.152 0.304 0.000
# Total magnetization, μB/f.u.: 2.82
# Volume, Å³ per atom: 31.53
# Electronic total energy, eV for the cell shown: -56.798



[5]
# GGA-PBE SrCeTl, relaxed
data_SrCeTl
_chemical_formula_sum 'Sr1 Ce1 Tl1'
_cell_length_a 5.5299
_cell_length_b 5.5299
_cell_length_c 3.9257
_cell_angle_alpha 90.00
_cell_angle_beta 90.00
_cell_angle_gamma 120.00
_symmetry_space_group_name_H-M 'P 3 m 1'
_symmetry_Int_Tables_number 156
_symmetry_space_group_name_Hall 'P 3 -2"'
loop_
_atom_site_label
_atom_site_fract_x
_atom_site_fract_y
_atom_site_fract_z
Sr1 0.0000 0.0000 0.0000
Ce1 0.3333 0.6667 0.4404
Tl1 0.6667 0.3333 0.6263
# Total magnetization, μB/f.u.: 1.06
# Volume, Å³ per atom: 34.66
# Electronic total energy, eV for the cell shown: -9.940



[6]
# GGA-PBE SrCeTl2, relaxed
data_SrCeTl2
_chemical_formula_sum 'Sr1 Ce1 Tl2'
_cell_length_a 3.906
_cell_length_b 3.906
_cell_length_c 8.376
_cell_angle_alpha 90.00
_cell_angle_beta 90.00
_cell_angle_gamma 90.00
_symmetry_space_group_name_H-M 'P 4/m m m'
_symmetry_Int_Tables_number 123
_symmetry_space_group_name_Hall '-P 4 2'
loop_
_atom_site_label
_atom_site_fract_x
_atom_site_fract_y
_atom_site_fract_z
Sr1 0.000 0.000 0.000
Ce1 0.000 0.000 0.500
Tl1 0.500 0.500 0.262
# Total magnetization, μB/f.u.: 1.31
# Volume, Å³ per atom: 31.95
# Electronic total energy, eV for the cell shown: -13.557



Please write out number 6 again, unchanged.
# GGA-PBE SrCeTl2, relaxed
data_SrCeTl2
_chemical_formula_sum 'Sr1 Ce1 Tl2'
_cell_length_a 3.906
_cell_length_b 3.906
_cell_length_c 8.376
_cell_angle_alpha 90.00
_cell_angle_beta 90.00
_cell_angle_gamma 90.00
_symmetry_space_group_name_H-M 'P 4/m m m'
_symmetry_Int_Tables_number 123
_symmetry_space_group_name_Hall '-P 4 2'
loop_
_atom_site_label
_atom_site_fract_x
_atom_site_fract_y
_atom_site_fract_z
Sr1 0.000 0.000 0.000
Ce1 0.000 0.000 0.500
Tl1 0.500 0.500 0.262
# Total magnetization, μB/f.u.: 1.31
# Volume, Å³ per atom: 31.95
# Electronic total energy, eV for the cell shown: -13.557